Record 1
# ErAl2AgAu4 GGA-PBE relaxed
data_ErAl2AgAu4
_chemical_formula_sum 'Er3 Al6 Ag3 Au12'
_space_group_name_H-M_alt 'R -3 m'
_space_group_IT_number 166
_space_group_name_Hall '-R 3 2"'
_cell_length_a 4.5048
_cell_length_b 4.5048
_cell_length_c 25.8455
_cell_angle_alpha 90.00
_cell_angle_beta 90.00
_cell_angle_gamma 120.00
loop_
_atom_site_label
_atom_site_fract_x
_atom_site_fract_y
_atom_site_fract_z
_atom_site_occupancy
Er1 0.0000 0.0000 0.0000 1
Al1 0.0000 0.0000 0.2423 1
Ag1 0.0000 0.0000 0.5000 1
Au1 0.0000 0.0000 0.1214 1
Au2 0.0000 0.0000 0.3900 1
# * E_tot: -3.95 eV/atom
# * calculated volume: 18.93 A^3/atom


Record 2
# KDyCd2Br8 GGA-PBE relaxed
data_KDyCd2Br8
_chemical_formula_sum 'K1 Dy1 Cd2 Br8'
_space_group_name_H-M_alt 'P -1'
_space_group_IT_number 2
_space_group_name_Hall '-P 1'
_cell_length_a 6.563
_cell_length_b 6.957
_cell_length_c 8.748
_cell_angle_alpha 89.71
_cell_angle_beta 89.58
_cell_angle_gamma 89.33
loop_
_atom_site_label
_atom_site_fract_x
_atom_site_fract_y
_atom_site_fract_z
_atom_site_occupancy
K1 0.000 0.000 0.000 1
Dy1 0.000 0.000 0.500 1
Cd1 0.498 0.498 0.248 1
Br1 0.249 0.832 0.721 1
Br2 0.251 0.834 0.278 1
Br3 0.261 0.336 0.500 1
Br4 0.266 0.379 0.000 1
# * ΔE_f (raw): -15.332 eV per formula unit
# * calculated volume: 33.28 A^3/atom


Record 3
# NaCeTm2Hg4 GGA-PBE relaxed
data_NaCeTm2Hg4
_chemical_formula_sum 'Na3 Ce3 Tm6 Hg12'
_space_group_name_H-M_alt 'R -3 m'
_space_group_IT_number 166
_space_group_name_Hall '-R 3 2"'
_cell_length_a 5.2000
_cell_length_b 5.2000
_cell_length_c 26.3132
_cell_angle_alpha 90.00
_cell_angle_beta 90.00
_cell_angle_gamma 120.00
loop_
_atom_site_label
_atom_site_fract_x
_atom_site_fract_y
_atom_site_fract_z
_atom_site_occupancy
Na1 0.0000 0.0000 0.0000 1
Ce1 0.0000 0.0000 0.5000 1
Tm1 0.0000 0.0000 0.2542 1
Hg1 0.0000 0.0000 0.1200 1
Hg2 0.0000 0.0000 0.3744 1
# * E_tot: -2.52 eV/atom
# * calculated volume: 25.67 A^3/atom


Record 4
# Ca2Cd3In3 GGA-PBE relaxed
data_Ca2Cd3In3
_chemical_formula_sum 'Ca2 Cd3 In3'
_space_group_name_H-M_alt 'P m m m'
_space_group_IT_number 47
_space_group_name_Hall '-P 2 2'
_cell_length_a 4.665
_cell_length_b 4.695
_cell_length_c 9.377
_cell_angle_alpha 90.00
_cell_angle_beta 90.00
_cell_angle_gamma 90.00
loop_
_atom_site_label
_atom_site_fract_x
_atom_site_fract_y
_atom_site_fract_z
_atom_site_occupancy
Ca1 0.000 0.000 0.250 1
Cd1 0.000 0.500 0.000 1
Cd2 0.000 0.500 0.500 1
Cd3 0.500 0.000 0.000 1
In1 0.500 0.000 0.500 1
In2 0.500 0.500 0.249 1
# * E_tot: -2.15 eV/atom
# * calculated volume: 25.67 A^3/atom


Record 5
# Pr2HoHg GGA-PBE relaxed
data_Pr2HoHg
_chemical_formula_sum 'Pr6 Ho3 Hg3'
_space_group_name_H-M_alt 'R 3 m'
_space_group_IT_number 160
_space_group_name_Hall 'R 3 -2"'
_cell_length_a 3.7196
_cell_length_b 3.7196
_cell_length_c 32.5130
_cell_angle_alpha 90.00
_cell_angle_beta 90.00
_cell_angle_gamma 120.00
loop_
_atom_site_label
_atom_site_fract_x
_atom_site_fract_y
_atom_site_fract_z
_atom_site_occupancy
Pr1 0.0000 0.0000 0.0000 1
Pr2 0.0000 0.0000 0.1774 1
Ho1 0.0000 0.0000 0.4217 1
Hg1 0.0000 0.0000 0.5888 1
# * relative energy among the computed polymorphs: 0.102 eV per atom
# * calculated volume: 32.46 A^3/atom


Record 6
# K4Ir GGA-PBE relaxed
data_K4Ir
_chemical_formula_sum 'K4 Ir1'
_space_group_name_H-M_alt 'P m -3 m'
_space_group_IT_number 221
_space_group_name_Hall '-P 4 2 3'
_cell_length_a 6.332
_cell_length_b 6.332
_cell_length_c 6.332
_cell_angle_alpha 90.00
_cell_angle_beta 90.00
_cell_angle_gamma 90.00
loop_
_atom_site_label
_atom_site_fract_x
_atom_site_fract_y
_atom_site_fract_z
_atom_site_occupancy
K1 0.000 0.000 0.000 1
K2 0.000 0.500 0.500 1
Ir1 0.500 0.500 0.500 1
# * relative energy among the computed polymorphs: 0.000 eV per atom
# * calculated volume: 50.78 A^3/atom


Record 7
# CaLaP2C GGA-PBE relaxed
data_CaLaP2C
_chemical_formula_sum 'Ca1 La1 P2 C1'
_space_group_name_H-M_alt 'P 4/m m m'
_space_group_IT_number 123
_space_group_name_Hall '-P 4 2'
_cell_length_a 4.976
_cell_length_b 4.976
_cell_length_c 6.056
_cell_angle_alpha 90.00
_cell_angle_beta 90.00
_cell_angle_gamma 90.00
loop_
_atom_site_label
_atom_site_fract_x
_atom_site_fract_y
_atom_site_fract_z
_atom_site_occupancy
Ca1 0.000 0.000 0.000 1
La1 0.000 0.000 0.500 1
P1 0.000 0.500 0.000 1
C1 0.500 0.500 0.500 1
# * E_tot: -3.64 eV/atom
# * calculated volume: 29.99 A^3/atom


Record 8
# BeNiBRh GGA-PBE relaxed
data_BeNiBRh
_chemical_formula_sum 'Be4 Ni4 B4 Rh4'
_space_group_name_H-M_alt 'F -4 3 m'
_space_group_IT_number 216
_space_group_name_Hall 'F -4 2 3'
_cell_length_a 5.310
_cell_length_b 5.310
_cell_length_c 5.310
_cell_angle_alpha 90.00
_cell_angle_beta 90.00
_cell_angle_gamma 90.00
loop_
_atom_site_label
_atom_site_fract_x
_atom_site_fract_y
_atom_site_fract_z
_atom_site_occupancy
Be1 0.000 0.000 0.000 1
Ni1 0.250 0.250 0.750 1
B1 0.000 0.000 0.500 1
Rh1 0.250 0.250 0.250 1
# * E_tot: -6.19 eV/atom
# * calculated volume: 9.36 A^3/atom


Record 9
# Na2Li2SbO6 GGA-PBE relaxed
data_Na2Li2SbO6
_chemical_formula_sum 'Na2 Li2 Sb1 O6'
_space_group_name_H-M_alt 'P -3 1 m'
_space_group_IT_number 162
_space_group_name_Hall '-P 3 2'
_cell_length_a 5.2986
_cell_length_b 5.2986
_cell_length_c 5.4573
_cell_angle_alpha 90.00
_cell_angle_beta 90.00
_cell_angle_gamma 120.00
loop_
_atom_site_label
_atom_site_fract_x
_atom_site_fract_y
_atom_site_fract_z
_atom_site_occupancy
Na1 0.3333 0.6667 0.0000 1
Li1 0.3333 0.6667 0.5000 1
Sb1 0.0000 0.0000 0.5000 1
O1 0.0000 0.3159 0.2986 1
# * ΔE_f (raw): -13.742 eV per formula unit
# * calculated volume: 12.06 A^3/atom


Record 10
# La3Pr2Y3 GGA-PBE relaxed
data_La3Pr2Y3
_chemical_formula_sum 'La6 Pr4 Y6'
_space_group_name_H-M_alt 'I m m m'
_space_group_IT_number 71
_space_group_name_Hall '-I 2 2'
_cell_length_a 5.154
_cell_length_b 5.218
_cell_length_c 20.850
_cell_angle_alpha 90.00
_cell_angle_beta 90.00
_cell_angle_gamma 90.00
loop_
_atom_site_label
_atom_site_fract_x
_atom_site_fract_y
_atom_site_fract_z
_atom_site_occupancy
La1 0.000 0.000 0.000 1
La2 0.000 0.500 0.123 1
Pr1 0.000 0.000 0.249 1
Y1 0.000 0.000 0.500 1
Y2 0.000 0.500 0.374 1
# * relative energy among the computed polymorphs: 0.012 eV per atom
# * calculated volume: 35.05 A^3/atom


Record 11
# LaTlN3 GGA-PBE relaxed
data_LaTlN3
_chemical_formula_sum 'La1 Tl1 N3'
_space_group_name_H-M_alt 'P m -3 m'
_space_group_IT_number 221
_space_group_name_Hall '-P 4 2 3'
_cell_length_a 4.237
_cell_length_b 4.237
_cell_length_c 4.237
_cell_angle_alpha 90.00
_cell_angle_beta 90.00
_cell_angle_gamma 90.00
loop_
_atom_site_label
_atom_site_fract_x
_atom_site_fract_y
_atom_site_fract_z
_atom_site_occupancy
La1 0.000 0.000 0.000 1
Tl1 0.500 0.500 0.500 1
N1 0.000 0.500 0.500 1
# * ΔE_f (raw): 4.739 eV per formula unit
# * calculated volume: 15.22 A^3/atom


Record 12
# PuSbRh4 GGA-PBE relaxed
data_PuSbRh4
_chemical_formula_sum 'Pu4 Sb4 Rh16'
_space_group_name_H-M_alt 'F -4 3 m'
_space_group_IT_number 216
_space_group_name_Hall 'F -4 2 3'
_cell_length_a 7.494
_cell_length_b 7.494
_cell_length_c 7.494
_cell_angle_alpha 90.00
_cell_angle_beta 90.00
_cell_angle_gamma 90.00
loop_
_atom_site_label
_atom_site_fract_x
_atom_site_fract_y
_atom_site_fract_z
_atom_site_occupancy
Pu1 0.000 0.000 0.000 1
Sb1 0.250 0.250 0.750 1
Rh1 0.125 0.125 0.375 1
# * ΔE_f (raw): -1.817 eV per formula unit
# * calculated volume: 17.53 A^3/atom


no.,theoretical density (g/cm3)
1,12.3
2,4.4
3,10.5
4,6.2
5,8.3
6,2.3
7,2.8
8,8.0
9,3.5
10,5.7
11,8.4
12,12.3